[1]
Computed, not measured: crystalline NaFeAs2 at its relaxed geometry at the PBE level of DFT.

Structure (extended XYZ):
```
16
Lattice="6.281 0.000 0.000 0.000 6.281 0.000 0.000 0.000 10.246" Properties=species:S:1:pos:R:3 pbc="T T T"
Na 0.000 0.000 0.000
Na 0.000 3.140 2.562
Na 3.140 0.000 7.685
Na 3.140 3.140 5.123
Fe 0.000 0.000 5.123
Fe 0.000 3.140 7.685
Fe 3.140 0.000 2.562
Fe 3.140 3.140 0.000
As 0.880 1.570 6.404
As 1.570 4.020 8.965
As 1.570 5.401 3.842
As 2.261 1.570 1.281
As 4.020 4.711 1.281
As 4.711 0.880 3.842
As 4.711 2.261 8.965
As 5.401 4.711 6.404
```

## Properties
- SG: I-42d (122)
- Energy above the lowest structure with this stoichiometry: 4.78 kcal/mol of atoms
- Density of states at the Fermi level: 10.29 states/eV per cell
- Formation energy from the elements: 0.040 eV per atom

=====

[2]
Computed, not measured: crystalline NpPaNbSn at its relaxed geometry at the PBE level of DFT.

Structure (extended XYZ):
```
16
Lattice="7.267 0.000 0.000 0.000 7.267 0.000 0.000 0.000 7.267" Properties=species:S:1:pos:R:3 pbc="T T T"
Np 0.000 0.000 0.000
Np 0.000 3.633 3.633
Np 3.633 0.000 3.633
Np 3.633 3.633 0.000
Pa 0.000 0.000 3.633
Pa 0.000 3.633 0.000
Pa 3.633 0.000 0.000
Pa 3.633 3.633 3.633
Nb 1.817 1.817 1.817
Nb 1.817 5.450 5.450
Nb 5.450 1.817 5.450
Nb 5.450 5.450 1.817
Sn 1.817 1.817 5.450
Sn 1.817 5.450 1.817
Sn 5.450 1.817 1.817
Sn 5.450 5.450 5.450
```

## Properties
- SG: F-43m (216)
- Density of states at the Fermi level: 43.95 states/eV per cell
- Formation energy from the elements: 0.336 eV per atom

=====

[3]
Computed, not measured: crystalline Ac2CdIn3Pt4 at its relaxed geometry at the PBE level of DFT.

Structure (extended XYZ):
```
10
Lattice="4.614 0.000 0.000 0.000 4.614 0.000 0.000 0.000 11.287" Properties=species:S:1:pos:R:3 pbc="T T T"
Ac 0.000 2.307 2.745
Ac 2.307 0.000 8.541
Cd 0.000 0.000 5.643
In 0.000 2.307 9.903
In 2.307 0.000 1.384
In 2.307 2.307 5.643
Pt 0.000 0.000 0.000
Pt 0.000 2.307 7.239
Pt 2.307 0.000 4.048
Pt 2.307 2.307 0.000
```

## Properties
- SG: P-4m2 (115)
- Density of states at the Fermi level: 7.21 states/eV per cell
- Formation energy from the elements: -0.726 eV per atom

=====

| no. | final energy (eV per atom) | total magnetic moment (μB/f.u.) |
| --- | --- | --- |
| 1 | -4.73 | 0.0 |
| 2 | -8.79 | 4.0 |
| 3 | -4.88 | 0.0 |